{"formula": "BaZnNO", "functional": "PBE-GGA", "state": "relaxed", "lattice": [[-1.035, 1.309, -3.780], [3.592, -1.413, -1.473], [-3.919, -8.142, -1.745]], "species": ["Zn", "Zn", "O", "O", "N", "N", "Ba", "Ba"], "frac_coords": [[0.250, 0.750, 0.500], [0.750, 0.250, 0.500], [0.750, 0.250, 0.000], [0.250, 0.750, 0.000], [0.250, 0.250, 0.490], [0.750, 0.750, 0.510], [0.250, 0.250, 0.152], [0.750, 0.750, 0.848]], "mass_density_g_cm3": 4.92, "spacegroup": "No. 129", "relative_energy_mev_per_atom": 301, "e_tot_ev_per_atom": -4.80}

{"formula": "BaZnNO", "functional": "PBE-GGA", "state": "relaxed", "lattice": [[-3.441, 2.310, 3.655], [0.321, -4.535, 3.168], [6.249, 3.159, 3.888]], "species": ["O", "O", "O", "O", "Zn", "Zn", "Zn", "Zn", "N", "N", "N", "N", "Ba", "Ba", "Ba", "Ba"], "frac_coords": [[0.488, 0.499, 0.347], [0.988, 0.001, 0.347], [0.488, 0.999, 0.653], [0.988, 0.501, 0.653], [0.988, 0.001, 0.093], [0.488, 0.499, 0.093], [0.488, 0.999, 0.907], [0.988, 0.501, 0.907], [0.238, 0.750, 0.001], [0.738, 0.750, 0.001], [0.238, 0.250, 0.999], [0.738, 0.250, 0.999], [0.488, 0.500, 0.679], [0.988, 0.500, 0.321], [0.988, 0.000, 0.679], [0.488, 0.000, 0.321]], "mass_density_g_cm3": 6.30, "spacegroup": "No. 57", "relative_energy_mev_per_atom": 0, "e_tot_ev_per_atom": -5.10}

{"formula": "BaZnNO", "functional": "PBE-GGA", "state": "relaxed", "lattice": [[-3.809, 1.278, -3.887], [-0.106, -5.671, -1.761], [-5.919, -1.535, 5.297]], "species": ["N", "N", "N", "N", "Zn", "Zn", "Zn", "Zn", "Ba", "Ba", "Ba", "Ba", "O", "O", "O", "O"], "frac_coords": [[0.009, 0.524, 0.156], [0.009, 0.024, 0.844], [0.509, 0.476, 0.844], [0.509, 0.976, 0.156], [0.005, 0.569, 0.397], [0.005, 0.069, 0.603], [0.505, 0.431, 0.603], [0.505, 0.931, 0.397], [0.006, 0.030, 0.184], [0.506, 0.470, 0.184], [0.506, 0.970, 0.816], [0.006, 0.530, 0.816], [0.683, 0.157, 0.523], [0.683, 0.657, 0.477], [0.183, 0.343, 0.523], [0.183, 0.843, 0.477]], "mass_density_g_cm3": 5.76, "spacegroup": "No. 29", "relative_energy_mev_per_atom": 250, "e_tot_ev_per_atom": -4.85}

{"formula": "BaZnNO", "functional": "PBE-GGA", "state": "relaxed", "lattice": [[-1.802, -3.121, 0.000], [0.000, 0.000, 5.684], [-5.702, 3.292, 0.000]], "species": ["O", "O", "Ba", "Ba", "Zn", "Zn", "N", "N"], "frac_coords": [[0.500, 0.000, 0.851], [0.500, 0.500, 0.149], [0.500, 0.002, 0.247], [0.500, 0.502, 0.753], [0.000, 0.001, 0.706], [0.000, 0.501, 0.294], [0.000, 0.752, 0.499], [0.000, 0.252, 0.501]], "mass_density_g_cm3": 5.73, "spacegroup": "No. 26", "relative_energy_mev_per_atom": 210, "e_tot_ev_per_atom": -4.89}

{"formula": "BaZnNO", "functional": "PBE-GGA", "state": "relaxed", "lattice": [[-2.713, -3.013, -2.865], [3.128, -3.733, 0.963], [-3.046, -1.422, 4.380]], "species": ["N", "N", "Ba", "Ba", "Zn", "Zn", "O", "O"], "frac_coords": [[0.500, 0.000, 0.406], [0.000, 0.500, 0.594], [0.500, 0.500, 0.500], [0.000, 0.000, 0.500], [0.500, 0.000, 0.051], [0.000, 0.500, 0.949], [0.000, 0.000, 0.000], [0.500, 0.500, 0.000]], "mass_density_g_cm3": 5.68, "spacegroup": "No. 129", "relative_energy_mev_per_atom": 679, "e_tot_ev_per_atom": -4.42}

{"formula": "Ba3OsN3", "functional": "PBE-GGA", "state": "relaxed", "lattice": [[8.156, 0.000, 0.000], [0.000, 5.624, 0.000], [-4.078, 0.000, 7.065]], "species": ["N", "N", "N", "N", "N", "N", "Os", "Os", "Ba", "Ba", "Ba", "Ba", "Ba", "Ba"], "frac_coords": [[0.185, 0.750, 0.569], [0.616, 0.250, 0.685], [0.069, 0.250, 0.884], [0.931, 0.750, 0.116], [0.384, 0.750, 0.315], [0.815, 0.250, 0.431], [0.167, 0.750, 0.333], [0.833, 0.250, 0.667], [0.400, 0.250, 0.261], [0.861, 0.250, 0.100], [0.600, 0.750, 0.739], [0.761, 0.750, 0.361], [0.139, 0.750, 0.900], [0.239, 0.250, 0.639]], "total_magnetization_mub_per_fu": 1.38, "mass_density_g_cm3": 6.60, "spacegroup": "No. 176", "e_tot_ev_per_atom": -6.48}

{"formula": "Ba2OsPbN6", "functional": "PBE-GGA", "state": "relaxed", "lattice": [[-1.476, -1.243, -5.647], [-0.589, -5.674, -1.751], [-4.044, 2.424, 3.678]], "species": ["Ba", "Ba", "N", "N", "N", "N", "N", "N", "Pb", "Os"], "frac_coords": [[0.750, 0.750, 0.750], [0.250, 0.250, 0.250], [0.267, 0.730, 0.230], [0.731, 0.731, 0.232], [0.730, 0.267, 0.230], [0.269, 0.269, 0.768], [0.733, 0.270, 0.770], [0.270, 0.733, 0.770], [0.000, 0.000, 0.500], [0.500, 0.500, 0.000]], "total_magnetization_mub_per_fu": 0.72, "mass_density_g_cm3": 8.33, "spacegroup": "No. 12", "e_tot_ev_per_atom": -6.32}

{"formula": "Ba2OsPbN6", "functional": "PBE-GGA", "state": "relaxed", "lattice": [[-1.089, -4.426, -3.858], [1.609, -5.590, 1.364], [-4.205, -4.077, 1.301]], "species": ["N", "N", "N", "N", "N", "N", "Pb", "Ba", "Ba", "Os"], "frac_coords": [[0.257, 0.250, 0.710], [0.753, 0.208, 0.289], [0.305, 0.233, 0.236], [0.743, 0.750, 0.290], [0.247, 0.792, 0.711], [0.695, 0.767, 0.764], [0.000, 0.500, 0.000], [0.250, 0.750, 0.251], [0.750, 0.250, 0.749], [0.500, 0.000, 0.500]], "total_magnetization_mub_per_fu": 1.66, "mass_density_g_cm3": 8.23, "spacegroup": "No. 2", "e_tot_ev_per_atom": -6.32}